{"formula": "NdAlPO", "functional": "PBE-GGA", "state": "relaxed", "vol_a3_per_atom": 19.9, "magmom_total_mub_per_fu": 0.008, "e_above_lowest_polymorph_kcal_per_mol_atoms": 16.84, "lattice_angstrom": [[4.066, 0.000, 0.000], [0.000, 4.066, 0.000], [0.000, 0.000, 9.633]], "species": ["Nd", "Nd", "Al", "Al", "P", "P", "O", "O"], "fractional_positions": [[0.250, 0.750, 0.000], [0.750, 0.250, 0.000], [0.250, 0.250, 0.444], [0.750, 0.750, 0.556], [0.250, 0.250, 0.207], [0.750, 0.750, 0.793], [0.250, 0.750, 0.500], [0.750, 0.250, 0.500]]}